Run one
# KCd3Rh | the Alexandria database | GGA-PBE | relaxed
data_KCd3Rh
_space_group_name_H-M_alt 'P 1'
_space_group_IT_number 1
_cell_length_a 4.510
_cell_length_b 4.510
_cell_length_c 20.754
_cell_angle_alpha 90.00
_cell_angle_beta 90.00
_cell_angle_gamma 120.00
loop_
_space_group_symop_operation_xyz
'x,y,z'
loop_
_atom_site_label
_atom_site_type_symbol
_atom_site_fract_x
_atom_site_fract_y
_atom_site_fract_z
_atom_site_occupancy
K1 K 0.000 0.000 0.000 1
K2 K 0.000 0.000 0.500 1
Cd1 Cd 0.000 0.000 0.250 1
Cd2 Cd 0.000 0.000 0.750 1
Cd3 Cd 0.333 0.667 0.124 1
Cd4 Cd 0.333 0.667 0.376 1
Cd5 Cd 0.667 0.333 0.624 1
Cd6 Cd 0.667 0.333 0.876 1
Rh1 Rh 0.333 0.667 0.250 1
Rh2 Rh 0.667 0.333 0.750 1
# N(E_F) = 0.2100 states/eV/atom
# Space-group type = No. 194

Run two
# KCd3Rh | the Alexandria database | GGA-PBE | relaxed
data_KCd3Rh
_space_group_name_H-M_alt 'P 1'
_space_group_IT_number 1
_cell_length_a 7.356
_cell_length_b 7.356
_cell_length_c 9.476
_cell_angle_alpha 104.59
_cell_angle_beta 104.59
_cell_angle_gamma 33.15
loop_
_space_group_symop_operation_xyz
'x,y,z'
loop_
_atom_site_label
_atom_site_type_symbol
_atom_site_fract_x
_atom_site_fract_y
_atom_site_fract_z
_atom_site_occupancy
K1 K 0.118 0.118 0.406 1
K2 K 0.882 0.882 0.594 1
Cd1 Cd 0.098 0.098 0.974 1
Cd2 Cd 0.262 0.262 0.819 1
Cd3 Cd 0.395 0.395 0.275 1
Cd4 Cd 0.605 0.605 0.725 1
Cd5 Cd 0.738 0.738 0.181 1
Cd6 Cd 0.902 0.902 0.026 1
Rh1 Rh 0.459 0.459 0.862 1
Rh2 Rh 0.541 0.541 0.138 1
# N(E_F) = 0.4357 states/eV/atom
# Space-group type = No. 12

Which structure is the most stable? The one labeled run two.

Run one
# KCd3Rh | the Alexandria database | GGA-PBE | relaxed
data_KCd3Rh
_space_group_name_H-M_alt 'P 1'
_space_group_IT_number 1
_cell_length_a 7.369
_cell_length_b 7.369
_cell_length_c 5.367
_cell_angle_alpha 90.00
_cell_angle_beta 90.00
_cell_angle_gamma 114.91
loop_
_space_group_symop_operation_xyz
'x,y,z'
loop_
_atom_site_label
_atom_site_type_symbol
_atom_site_fract_x
_atom_site_fract_y
_atom_site_fract_z
_atom_site_occupancy
K1 K 0.064 0.936 0.750 1
K2 K 0.936 0.064 0.250 1
Cd1 Cd 0.086 0.568 0.250 1
Cd2 Cd 0.432 0.914 0.250 1
Cd3 Cd 0.500 0.500 0.000 1
Cd4 Cd 0.500 0.500 0.500 1
Cd5 Cd 0.568 0.086 0.750 1
Cd6 Cd 0.914 0.432 0.750 1
Rh1 Rh 0.310 0.690 0.750 1
Rh2 Rh 0.690 0.310 0.250 1
# N(E_F) = 0.4556 states/eV/atom
# Space-group type = No. 63

Run two
# KCd3Rh | the Alexandria database | GGA-PBE | relaxed
data_KCd3Rh
_space_group_name_H-M_alt 'P 1'
_space_group_IT_number 1
_cell_length_a 9.817
_cell_length_b 9.817
_cell_length_c 5.781
_cell_angle_alpha 103.15
_cell_angle_beta 103.15
_cell_angle_gamma 28.03
loop_
_space_group_symop_operation_xyz
'x,y,z'
loop_
_atom_site_label
_atom_site_type_symbol
_atom_site_fract_x
_atom_site_fract_y
_atom_site_fract_z
_atom_site_occupancy
K1 K 0.078 0.078 0.389 1
K2 K 0.922 0.922 0.611 1
Cd1 Cd 0.161 0.161 0.955 1
Cd2 Cd 0.276 0.276 0.676 1
Cd3 Cd 0.435 0.435 0.100 1
Cd4 Cd 0.565 0.565 0.900 1
Cd5 Cd 0.724 0.724 0.324 1
Cd6 Cd 0.839 0.839 0.045 1
Rh1 Rh 0.301 0.301 0.214 1
Rh2 Rh 0.699 0.699 0.786 1
# N(E_F) = 0.4632 states/eV/atom
# Space-group type = No. 12

Run three
# KCd3Rh | the Alexandria database | GGA-PBE | relaxed
data_KCd3Rh
_space_group_name_H-M_alt 'P 1'
_space_group_IT_number 1
_cell_length_a 5.484
_cell_length_b 7.253
_cell_length_c 7.537
_cell_angle_alpha 61.25
_cell_angle_beta 87.01
_cell_angle_gamma 89.89
loop_
_space_group_symop_operation_xyz
'x,y,z'
loop_
_atom_site_label
_atom_site_type_symbol
_atom_site_fract_x
_atom_site_fract_y
_atom_site_fract_z
_atom_site_occupancy
K1 K 0.000 0.146 0.207 1
K2 K 0.000 0.854 0.793 1
Cd1 Cd 0.128 0.404 0.692 1
Cd2 Cd 0.500 0.000 0.000 1
Cd3 Cd 0.500 0.194 0.500 1
Cd4 Cd 0.500 0.500 0.000 1
Cd5 Cd 0.500 0.806 0.500 1
Cd6 Cd 0.872 0.596 0.308 1
Rh1 Rh 0.369 0.604 0.293 1
Rh2 Rh 0.631 0.396 0.707 1
# N(E_F) = 0.4065 states/eV/atom
# Space-group type = No. 2

Run four
# KCd3Rh | the Alexandria database | GGA-PBE | relaxed
data_KCd3Rh
_space_group_name_H-M_alt 'P 1'
_space_group_IT_number 1
_cell_length_a 5.422
_cell_length_b 5.492
_cell_length_c 9.748
_cell_angle_alpha 98.28
_cell_angle_beta 99.34
_cell_angle_gamma 102.03
loop_
_space_group_symop_operation_xyz
'x,y,z'
loop_
_atom_site_label
_atom_site_type_symbol
_atom_site_fract_x
_atom_site_fract_y
_atom_site_fract_z
_atom_site_occupancy
K1 K 0.125 0.336 0.148 1
K2 K 0.875 0.664 0.852 1
Cd1 Cd 0.062 0.865 0.360 1
Cd2 Cd 0.342 0.617 0.597 1
Cd3 Cd 0.459 0.092 0.869 1
Cd4 Cd 0.541 0.908 0.131 1
Cd5 Cd 0.658 0.383 0.403 1
Cd6 Cd 0.938 0.135 0.640 1
Rh1 Rh 0.422 0.140 0.602 1
Rh2 Rh 0.578 0.860 0.398 1
# N(E_F) = 0.5480 states/eV/atom
# Space-group type = No. 2

Which structure is the most stable? The one labeled run three.

Run one
# KCd3Rh | the Alexandria database | GGA-PBE | relaxed
data_KCd3Rh
_space_group_name_H-M_alt 'P 1'
_space_group_IT_number 1
_cell_length_a 7.408
_cell_length_b 7.408
_cell_length_c 7.408
_cell_angle_alpha 120.30
_cell_angle_beta 90.19
_cell_angle_gamma 119.48
loop_
_space_group_symop_operation_xyz
'x,y,z'
loop_
_atom_site_label
_atom_site_type_symbol
_atom_site_fract_x
_atom_site_fract_y
_atom_site_fract_z
_atom_site_occupancy
K1 K 0.329 0.079 0.250 1
K2 K 0.671 0.921 0.750 1
Cd1 Cd 0.189 0.439 0.750 1
Cd2 Cd 0.218 0.000 0.718 1
Cd3 Cd 0.218 0.500 0.218 1
Cd4 Cd 0.782 0.000 0.282 1
Cd5 Cd 0.782 0.500 0.782 1
Cd6 Cd 0.811 0.561 0.250 1
Rh1 Rh 0.000 0.500 0.500 1
Rh2 Rh 0.500 0.500 0.000 1
# N(E_F) = 0.3535 states/eV/atom
# Space-group type = No. 74

Run two
# KCd3Rh | the Alexandria database | GGA-PBE | relaxed
data_KCd3Rh
_space_group_name_H-M_alt 'P 1'
_space_group_IT_number 1
_cell_length_a 5.364
_cell_length_b 4.159
_cell_length_c 6.555
_cell_angle_alpha 90.00
_cell_angle_beta 107.83
_cell_angle_gamma 90.00
loop_
_space_group_symop_operation_xyz
'x,y,z'
loop_
_atom_site_label
_atom_site_type_symbol
_atom_site_fract_x
_atom_site_fract_y
_atom_site_fract_z
_atom_site_occupancy
K1 K 0.000 0.000 0.000 1
Cd1 Cd 0.000 0.000 0.500 1
Cd2 Cd 0.447 0.500 0.750 1
Cd3 Cd 0.553 0.500 0.250 1
Rh1 Rh 0.500 0.000 0.500 1
# N(E_F) = 0.2673 states/eV/atom
# Space-group type = No. 10

Which structure is the most stable? The one labeled run one.

Run one
# KCd3Rh | the Alexandria database | GGA-PBE | relaxed
data_KCd3Rh
_space_group_name_H-M_alt 'P 1'
_space_group_IT_number 1
_cell_length_a 5.833
_cell_length_b 5.833
_cell_length_c 9.131
_cell_angle_alpha 115.08
_cell_angle_beta 115.08
_cell_angle_gamma 59.50
loop_
_space_group_symop_operation_xyz
'x,y,z'
loop_
_atom_site_label
_atom_site_type_symbol
_atom_site_fract_x
_atom_site_fract_y
_atom_site_fract_z
_atom_site_occupancy
K1 K 0.153 0.153 0.171 1
K2 K 0.847 0.847 0.829 1
Cd1 Cd 0.146 0.146 0.785 1
Cd2 Cd 0.262 0.262 0.549 1
Cd3 Cd 0.444 0.444 0.142 1
Cd4 Cd 0.556 0.556 0.858 1
Cd5 Cd 0.738 0.738 0.451 1
Cd6 Cd 0.854 0.854 0.215 1
Rh1 Rh 0.275 0.725 0.500 1
Rh2 Rh 0.725 0.275 0.500 1
# N(E_F) = 0.4987 states/eV/atom
# Space-group type = No. 12

Run two
# KCd3Rh | the Alexandria database | GGA-PBE | relaxed
data_KCd3Rh
_space_group_name_H-M_alt 'P 1'
_space_group_IT_number 1
_cell_length_a 5.043
_cell_length_b 5.043
_cell_length_c 10.862
_cell_angle_alpha 90.00
_cell_angle_beta 90.00
_cell_angle_gamma 120.00
loop_
_space_group_symop_operation_xyz
'x,y,z'
loop_
_atom_site_label
_atom_site_type_symbol
_atom_site_fract_x
_atom_site_fract_y
_atom_site_fract_z
_atom_site_occupancy
K1 K 0.333 0.667 0.250 1
K2 K 0.667 0.333 0.750 1
Cd1 Cd 0.000 0.000 0.250 1
Cd2 Cd 0.000 0.000 0.750 1
Cd3 Cd 0.333 0.667 0.551 1
Cd4 Cd 0.333 0.667 0.949 1
Cd5 Cd 0.667 0.333 0.051 1
Cd6 Cd 0.667 0.333 0.449 1
Rh1 Rh 0.000 0.000 0.000 1
Rh2 Rh 0.000 0.000 0.500 1
# N(E_F) = 0.3994 states/eV/atom
# Space-group type = No. 194

Which structure is the most stable? The one labeled run one.